The following is a DFT calculation (PBEsol) of crystalline MgPb2W at its relaxed geometry.

energy relative to the elements = 286 kJ/mol of formula units
volume = 21.26 A^3/atom
total energy = -5.14 eV/atom
density = 12.16 Mg/m³

Cell and atoms, written as extended XYZ:
```
4
Lattice="-1.988 2.504 4.271 1.988 -2.504 4.271 1.988 2.504 -4.271" Properties=species:S:1:pos:R:3 pbc="T T T"
Mg 0.000 0.000 0.000
Pb 1.988 0.000 2.138
Pb 0.000 2.504 2.133
W 0.000 0.000 4.271
```